The following is a DFT calculation (GGA-PBE) of a relaxed La6CoP2I3 crystal.

a b c (Å): 7.4278 7.4278 8.1903
angles (deg): 99.28 99.28 119.14
Closest atoms and distances in Å follow each position.
Positions (direct):
La (0.9361, 0.6244, 0.8118)  1 Co 2.73, 2 P 2.93-2.99
La (0.7312, 0.7312, 0.2029)  2 P 2.93, 1 Co 3.00
La (0.0639, 0.3756, 0.1882)  1 Co 2.73, 2 P 2.93-2.99
La (0.6244, 0.9361, 0.8118)  1 Co 2.73, 2 P 2.93-2.99
La (0.2688, 0.2688, 0.7971)  2 P 2.93, 1 Co 3.00
La (0.3756, 0.0639, 0.1882)  1 Co 2.73, 2 P 2.93-2.99
Co (0.0000, 0.0000, 0.0000)  6 La 2.73-3.00
P (0.3318, 0.6682, 0.0000)  6 La 2.93-2.99
P (0.6682, 0.3318, 0.0000)  6 La 2.93-2.99
I (0.1752, 0.8248, 0.5000)  6 La 3.45-3.50
I (0.8248, 0.1752, 0.5000)  6 La 3.45-3.50
I (0.5000, 0.5000, 0.5000)  6 La 3.39-3.41

Calculated values
Formation energy from raw total energies, eV/atom: -1.146
Calculated volume, Å³/atom: 31.18
D(E_F), states/eV per cell: 10.79
Electronic total energy, eV for the cell shown: -65.89